No. 1
SrHgGe: relaxed, PBE.

Geometry as extended XYZ:
```
6
Lattice="6.204 -0.075 0.018 2.049 4.532 -0.004 -1.133 -2.212 5.685" Properties=species:S:1:pos:R:3 pbc="T T T"
Sr 5.158 1.047 1.786
Sr 1.088 0.161 5.050
Ge 3.989 -1.152 4.135
Ge 4.253 1.456 4.947
Hg 2.118 2.422 2.814
Hg 2.099 -0.299 1.739
```

Summary:
Energy relative to the elements   -0.415 eV/atom
M_tot   0.0 μB per formula unit
Space group   Ima2

No. 2
Mn3AlPt: relaxed, PBE.

Geometry as extended XYZ:
```
5
Lattice="4.863 0.000 0.000 0.000 4.863 0.000 0.000 0.000 4.863" Properties=species:S:1:pos:R:3 pbc="T T T"
Mn 0.000 2.431 0.000
Mn 0.000 0.000 2.431
Mn 2.431 0.000 0.000
Al 2.431 2.431 2.431
Pt 0.000 0.000 0.000
```

Summary:
Energy relative to the elements   0.799 eV/atom
Offset from the most stable computed form   0 meV/atom
M_tot   13.1 μB per formula unit
Space group   Pm-3m

No. 3
Y2VZnCo: relaxed, PBE.

Geometry as extended XYZ:
```
5
Lattice="5.264 0.000 0.000 0.000 5.264 0.000 0.000 0.000 4.262" Properties=species:S:1:pos:R:3 pbc="T T T"
Y 0.000 2.632 0.000
Y 2.632 0.000 0.000
Zn 2.632 2.632 2.131
Co 0.000 0.000 0.000
V 0.000 0.000 2.131
```

Summary:
Energy relative to the elements   0.197 eV/atom
M_tot   2.0 μB per formula unit
Space group   P4/mmm

No. 4
MgMoBr2: relaxed, PBE.

Geometry as extended XYZ:
```
4
Lattice="4.292 -1.045 1.840 1.074 1.326 4.470 0.387 -3.297 3.446" Properties=species:S:1:pos:R:3 pbc="T T T"
Mo 2.876 -1.508 4.878
Mg 0.000 0.000 0.000
Br 1.438 -0.754 2.439
Br 4.315 -2.262 7.317
```

Summary:
Offset from the most stable computed form   658 meV/atom
M_tot   1.4 μB per formula unit
ΔE_f (raw)   41.9 kJ per mole of atoms
Space group   Fm-3m

No. 5
CeSm2Te: relaxed, PBE.

Geometry as extended XYZ:
```
4
Lattice="3.890 0.000 0.002 -1.945 3.370 -0.009 -0.005 -2.225 10.046" Properties=species:S:1:pos:R:3 pbc="T T T"
Ce -1.473 3.000 0.517
Sm 2.417 0.758 3.366
Sm 0.470 -0.354 7.724
Te 0.472 1.887 5.541
```

Summary:
Offset from the most stable computed form   63 meV/atom
M_tot   1.0 μB per formula unit
ΔE_f (raw)   -45.8 kJ per mole of atoms
Space group   R-3m

No. 6
TlMo2AuCl: relaxed, PBE.

Geometry as extended XYZ:
```
5
Lattice="-5.100 -0.048 1.420 -0.478 -4.870 -1.880 1.337 -1.959 4.734" Properties=species:S:1:pos:R:3 pbc="T T T"
Tl -2.121 -3.438 2.137
Au 0.000 0.000 0.000
Mo 0.668 -0.980 2.367
Mo -2.550 -0.024 0.710
Cl -0.239 -2.435 -0.940
```

Summary:
M_tot   8.5 μB per formula unit
ΔE_f (raw)   154.5 kJ per mole of atoms
Space group   P4/mmm

No. 7
BeTe2I: relaxed, PBE.

Geometry as extended XYZ:
```
4
Lattice="2.889 0.456 4.383 -0.209 4.431 2.844 -2.349 -0.005 4.717" Properties=species:S:1:pos:R:3 pbc="T T T"
I 0.165 2.441 5.972
Be 0.000 0.000 0.000
Te 0.083 1.220 2.986
Te 0.248 3.661 8.958
```

Summary:
Offset from the most stable computed form   713 meV/atom
M_tot   0.0 μB per formula unit
ΔE_f (raw)   82.3 kJ per mole of atoms
Space group   Fm-3m

No. 8
NaMn3P: relaxed, PBE.

Geometry as extended XYZ:
```
5
Lattice="-0.086 4.598 -0.589 -3.579 -0.440 -2.915 -2.947 0.401 3.558" Properties=species:S:1:pos:R:3 pbc="T T T"
P -3.306 2.279 0.027
Mn -1.790 -0.220 -1.457
Mn -1.473 0.200 1.779
Mn -0.043 2.299 -0.295
Na 0.000 0.000 0.000
```

Summary:
Energy relative to the elements   1.750 eV/atom
Offset from the most stable computed form   1410 meV/atom
M_tot   11.9 μB per formula unit
Space group   Pm-3m

> Which of these has the highest M_tot?

Mn3AlPt

> Among the records above, which one has the highest M_tot?

Mn3AlPt